Entry from Alexandria via LeMat-Bulk: crystalline ZnCrGe2O6 at its relaxed geometry (PBE with a Hubbard U).

Calculated values
distance to the lowest polymorph of the same formula: 0 meV/atom
magnetic moment: 8.0 μB/cell
energy: -6.37 eV per atom

a b c (Å): 5.5187 6.8886 7.2553
angles (deg): 87.03 74.11 76.44
Space group P-1 (No. 2)
Asymmetric unit:
Zn  0.2461  0.2421  0.2697 (multiplicity 2)
Cr  0.2519  0.9040  0.6023 (multiplicity 2)
Ge  0.2402  0.3899  0.7170 (multiplicity 2)
Ge  0.2688  0.7852  0.1101 (multiplicity 2)
O  0.0072  0.6796  0.0960 (multiplicity 2)
O  0.1193  0.6283  0.6362 (multiplicity 2)
O  0.1356  0.9735  0.2906 (multiplicity 2)
O  0.3524  0.1994  0.5330 (multiplicity 2)
O  0.4035  0.8578  0.8783 (multiplicity 2)
O  0.4947  0.5934  0.1941 (multiplicity 2)